Entry from the Alexandria database: crystalline CdPd2Pb2 at its relaxed geometry (PBEsol).

```
CdPd2Pb2
1.0
7.312 0.000 0.000
0.000 7.312 0.000
0.000 0.000 3.885
Cd Pd Pb
2 4 4
direct
0.000 0.000 0.000
0.500 0.500 0.000
0.139 0.361 0.000
0.361 0.861 0.000
0.639 0.139 0.000
0.861 0.639 0.000
0.161 0.661 0.500
0.339 0.161 0.500
0.661 0.839 0.500
0.839 0.339 0.500
```

Values from the calculation:
* calculated formation energy: -191 meV per atom
* relative energy among the computed polymorphs: 0.000 eV/f.u.
* size of the total moment: 0.00 Bohr magnetons per cell
* volume: 103.9 Å³/f.u.